A plane-wave DFT calculation with PBE was carried out for a relaxed structure of HfV2Os.

The structure in POSCAR format:
```
HfV2Os
1.0
-0.450 4.234 1.138
-3.121 1.189 2.875
1.125 1.325 4.050
V Os Hf
2 1 1
direct
0.750 0.750 0.750
0.250 0.250 0.250
0.500 0.500 0.500
0.000 0.000 0.000
```

The formation energy comes out at -0.68 eV/f.u. The value obtained for the density of states at the Fermi level is 5.38 states/eV per cell. As for the magnetic moment: 0.0 μB per cell.



A plane-wave DFT calculation with PBE was carried out for a relaxed structure of Hf5VOs4.

The structure in POSCAR format:
```
Hf5VOs4
1.0
-0.282 2.923 1.381
-2.179 0.852 -2.249
-12.123 -5.700 9.586
Hf Os V
5 4 1
direct
0.500 0.500 0.699
0.500 0.500 0.103
0.500 0.500 0.897
0.500 0.500 0.500
0.500 0.500 0.301
0.000 0.000 0.401
0.000 0.000 0.797
0.000 0.000 0.599
0.000 0.000 0.203
0.000 0.000 0.000
```

The formation energy comes out at -5.38 eV/f.u. The value obtained for the density of states at the Fermi level is 5.71 states/eV per cell. As for the magnetic moment: 0.0 μB per cell.



A plane-wave DFT calculation with PBE was carried out for a relaxed structure of HfVOs3.

The structure in POSCAR format:
```
HfVOs3
1.0
4.475 0.000 0.000
0.000 4.475 0.000
0.000 0.000 4.475
Hf Os V
1 3 1
direct
0.500 0.500 0.500
0.000 0.500 0.000
0.000 0.000 0.500
0.500 0.000 0.000
0.000 0.000 0.000
```

The formation energy comes out at 4.69 eV/f.u. The value obtained for the density of states at the Fermi level is 2.97 states/eV per cell. As for the magnetic moment: 0.0 μB per cell.



A plane-wave DFT calculation with PBE was carried out for a relaxed structure of Hf2VOsW.

The structure in POSCAR format:
```
Hf2VOsW
1.0
-4.589 0.641 1.063
-1.027 -0.360 -4.217
-0.533 -4.694 0.530
Hf Os W V
2 1 1 1
direct
0.000 0.000 0.500
0.500 0.000 0.000
0.500 0.500 0.500
0.000 0.500 0.000
0.000 0.000 0.000
```

The formation energy comes out at 6.37 eV/f.u. The value obtained for the density of states at the Fermi level is 5.79 states/eV per cell. As for the magnetic moment: 0.0 μB per cell.



A plane-wave DFT calculation with PBE was carried out for a relaxed structure of Hf3OsW.

The structure in POSCAR format:
```
Hf3OsW
1.0
-4.307 -1.747 1.601
2.370 -3.233 2.846
0.042 3.265 3.674
Os Hf W
1 3 1
direct
0.500 0.500 0.500
0.500 0.000 0.000
0.000 0.000 0.500
0.000 0.500 0.000
0.000 0.000 0.000
```

The formation energy comes out at 7.18 eV/f.u. The value obtained for the density of states at the Fermi level is 4.77 states/eV per cell. As for the magnetic moment: 0.0 μB per cell.



A plane-wave DFT calculation with PBE was carried out for a relaxed structure of Hf2OsW.

The structure in POSCAR format:
```
Hf2OsW
1.0
-0.133 7.411 0.534
-5.587 -0.452 4.879
-1.015 3.361 4.809
Hf W Os
4 2 2
direct
0.646 0.125 0.250
0.375 0.354 0.750
0.104 0.625 0.250
0.875 0.896 0.750
0.500 0.500 0.000
0.250 0.750 0.500
0.750 0.250 0.500
0.000 0.000 0.000
```

The formation energy comes out at 2.03 eV/f.u. The value obtained for the density of states at the Fermi level is 7.18 states/eV per cell. As for the magnetic moment: 0.0 μB per cell.



A plane-wave DFT calculation with PBE was carried out for a relaxed structure of HfOs3W.

The structure in POSCAR format:
```
HfOs3W
1.0
-1.335 1.177 -4.336
-2.215 -4.108 -0.433
-3.909 1.926 1.726
Hf Os W
1 3 1
direct
0.500 0.500 0.500
0.000 0.500 0.000
0.500 0.000 0.000
0.000 0.000 0.500
0.000 0.000 0.000
```

The formation energy comes out at 8.13 eV/f.u. The value obtained for the density of states at the Fermi level is 4.25 states/eV per cell. As for the magnetic moment: 0.0 μB per cell.



A plane-wave DFT calculation with PBE was carried out for a relaxed structure of HfOs2W.

The structure in POSCAR format:
```
HfOs2W
1.0
3.043 0.000 0.000
0.000 3.043 0.000
0.000 0.000 7.074
Os W Hf
2 1 1
direct
0.000 0.000 0.233
0.000 0.000 0.767
0.500 0.500 0.000
0.500 0.500 0.500
```

The formation energy comes out at -0.60 eV/f.u. The value obtained for the density of states at the Fermi level is 4.22 states/eV per cell. As for the magnetic moment: 0.0 μB per cell.